10
Lattice="-3.061 3.061 4.570 3.061 -3.061 4.570 3.061 3.061 -4.570" Properties=species:S:1:pos:R:3 comment="Rb2CrCdF6 PBE with a Hubbard U optimized geometry" total_energy_ev_per_atom=-4.733 m_tot_mub_per_fu=4.00 pbc="T T T"
Rb 3.061 0.000 2.285
Rb 0.000 3.061 2.285
Cr 0.000 0.000 0.000
Cd 0.000 0.000 4.570
F 1.443 1.443 0.000
F 1.618 -1.618 4.570
F 0.000 0.000 2.363
F 0.000 0.000 6.776
F -1.618 1.618 4.570
F 1.618 1.618 4.570